Here is a relaxed structure of Si2NiPRh from the Alexandria database. Energies are from PBEsol.

It has space group P4/mmm (No. 123), with a = 4.499 Å, b = 4.499 Å, c = 4.508 Å, α = 90.00°, β = 90.00° and γ = 90.00°. The inequivalent atoms are Si at (0.000, 0.500, 0.000), Ni at (0.000, 0.000, 0.500), P at (0.500, 0.500, 0.500) and Rh at (0.500, 0.500, 0.000).

The calculation puts the volume at 91.3 Å³/f.u. The calculation puts the formation energy from raw total energies at 0.80 eV per atom. The calculation puts the total energy at -5.516 eV per atom. The density of states at the Fermi level comes out at 4.1 states/eV/f.u.